Record 1
Below is a geometry-optimized Ni3GeIr structure, with properties calculated at the PBE level.

Output
**VASP energy**: -26.07 eV per cell
**Energy relative to the lowest polymorph listed for this composition**: 806 meV per atom

a b c (Å): 4.2239 4.2239 4.2239
angles (deg): 90.00 90.00 90.00
Space group Pm-3m (No. 221)
Inequivalent atoms, fractional coordinates:
Ni 0.0000 0.0000 0.5000 x3
Ge 0.0000 0.0000 0.0000 x1
Ir 0.5000 0.5000 0.5000 x1

Record 2
Below is a geometry-optimized Ce2CdMo structure, with properties calculated at the PBE level.

Output
**VASP energy**: -66.42 eV per cell
**Energy relative to the lowest polymorph listed for this composition**: 291 meV per atom

a b c (Å): 3.2021 3.2021 33.6053
angles (deg): 90.00 90.00 120.00
Space group R-3m (No. 166, hexagonal axes)
Inequivalent atoms, fractional coordinates:
Ce 0.0000 0.0000 0.1000 x6
Cd 0.0000 0.0000 0.0000 x3
Mo 0.0000 0.0000 0.5000 x3

Fermi-level density of states? In order: 1.482, 2.025 states/eV/atom.